Density functional theory data (PBE) for a relaxed FeSe2Cl crystal.

## Properties
Offset from the most stable computed form = 327 meV per atom
Spin magnetization = 3.23 μB/cell

Cell lengths 2.9085, 2.9085, 10.9335 Å; angles 90.00, 90.00, 90.00 degrees
Atoms (fractional coordinates):
Fe 0.0000 0.0000 0.0000
Se 0.0000 0.0000 0.4936
Se 0.5000 0.5000 0.1512
Cl 0.5000 0.5000 0.8599



Density functional theory data (PBE) for a relaxed Fe2SeCl8 crystal.

## Properties
Spin magnetization = 9.95 μB/cell
E = -3.77 eV/atom

Cell lengths 7.8515, 7.8515, 7.1874 Å; angles 99.02, 99.02, 67.69 degrees
Atoms (fractional coordinates):
Fe 0.2248 0.2248 0.3034
Fe 0.7752 0.7752 0.6966
Se 0.0000 0.0000 0.0000
Cl 0.0552 0.6742 0.8851
Cl 0.1885 0.1885 0.5831
Cl 0.3258 0.9448 0.1149
Cl 0.3873 0.3873 0.2875
Cl 0.6127 0.6127 0.7125
Cl 0.6742 0.0552 0.8851
Cl 0.8115 0.8115 0.4169
Cl 0.9448 0.3258 0.1149



Density functional theory data (PBE) for a relaxed Fe2SeCl crystal.

## Properties
Offset from the most stable computed form = 539 meV per atom
Spin magnetization = 6.85 μB/cell

Cell lengths 4.9305, 4.9305, 3.5199 Å; angles 110.57, 110.57, 90.93 degrees
Atoms (fractional coordinates):
Fe 0.0000 0.5000 0.0000
Fe 0.5000 0.0000 0.0000
Se 0.0000 0.0000 0.5000
Cl 0.5000 0.5000 0.5000



Density functional theory data (PBE) for a relaxed FeSe4Cl crystal.

## Properties
Spin magnetization = 4.24 μB/cell
E = -3.37 eV/atom

Cell lengths 5.6523, 5.6523, 5.6523 Å; angles 60.00, 60.00, 60.00 degrees
Atoms (fractional coordinates):
Fe 0.0000 0.0000 0.0000
Se 0.1258 0.6247 0.6247
Se 0.6247 0.1258 0.6247
Se 0.6247 0.6247 0.1258
Se 0.6247 0.6247 0.6247
Cl 0.2500 0.2500 0.2500



Density functional theory data (PBE) for a relaxed Fe2SeCl crystal.

## Properties
Offset from the most stable computed form = 523 meV per atom
Spin magnetization = 6.47 μB/cell

Cell lengths 6.3331, 6.3331, 6.3331 Å; angles 148.09, 148.09, 45.75 degrees
Atoms (fractional coordinates):
Fe 0.0000 0.0000 0.0000
Fe 0.7500 0.2500 0.5000
Se 0.2500 0.7500 0.5000
Cl 0.5000 0.5000 0.0000



Density functional theory data (PBE) for a relaxed FeSe2Cl crystal.

## Properties
Offset from the most stable computed form = 779 meV per atom
Spin magnetization = 3.15 μB/cell

Cell lengths 4.6954, 4.6954, 4.6954 Å; angles 60.00, 60.00, 60.00 degrees
Atoms (fractional coordinates):
Fe 0.0000 0.0000 0.0000
Se 0.2500 0.2500 0.2500
Se 0.7500 0.7500 0.7500
Cl 0.5000 0.5000 0.5000



Density functional theory data (PBE) for a relaxed Fe2SeCl crystal.

## Properties
Offset from the most stable computed form = 195 meV per atom
Spin magnetization = 6.17 μB/cell

Cell lengths 7.5584, 7.5584, 7.5584 Å; angles 155.05, 152.90, 37.16 degrees
Atoms (fractional coordinates):
Fe 0.0000 0.0000 0.0000
Fe 0.8735 0.3735 0.5000
Se 0.3465 0.8465 0.5000
Cl 0.5816 0.5816 0.0000



Density functional theory data (PBE) for a relaxed Fe2SeCl crystal.

## Properties
Offset from the most stable computed form = 526 meV per atom
Spin magnetization = 6.66 μB/cell

Cell lengths 4.5175, 4.5175, 3.1235 Å; angles 90.00, 90.00, 90.00 degrees
Atoms (fractional coordinates):
Fe 0.0000 0.5000 0.0000
Fe 0.5000 0.0000 0.0000
Se 0.0000 0.0000 0.5000
Cl 0.5000 0.5000 0.5000



Density functional theory data (PBE) for a relaxed FeSe2Cl crystal.

## Properties
Offset from the most stable computed form = 59 meV per atom
Spin magnetization = 1.66 μB/cell

Cell lengths 3.6903, 3.6903, 7.4894 Å; angles 98.02, 98.02, 56.52 degrees
Atoms (fractional coordinates):
Fe 0.0000 0.0000 0.0000
Se 0.3548 0.3548 0.1657
Se 0.6452 0.6452 0.8343
Cl 0.5000 0.5000 0.5000



Density functional theory data (PBE) for a relaxed Fe2SeCl crystal.

## Properties
Offset from the most stable computed form = 529 meV per atom
Spin magnetization = 6.28 μB/cell

Cell lengths 3.0656, 3.8168, 6.2254 Å; angles 90.00, 90.00, 90.00 degrees
Atoms (fractional coordinates):
Fe 0.0000 0.0000 0.0000
Fe 0.5000 0.0000 0.5000
Se 0.0000 0.5000 0.5000
Cl 0.5000 0.5000 0.0000



Density functional theory data (PBE) for a relaxed Fe2SeCl crystal.

## Properties
Offset from the most stable computed form = 907 meV per atom
Spin magnetization = 6.88 μB/cell

Cell lengths 4.5574, 4.5574, 4.5574 Å; angles 60.00, 60.00, 60.00 degrees
Atoms (fractional coordinates):
Fe 0.0000 0.0000 0.0000
Fe 0.2500 0.2500 0.2500
Se 0.5000 0.5000 0.5000
Cl 0.7500 0.7500 0.7500



Density functional theory data (PBE) for a relaxed Fe2SeCl crystal.

## Properties
Offset from the most stable computed form = 276 meV per atom
Spin magnetization = 6.63 μB/cell

Cell lengths 6.0332, 6.0332, 6.0332 Å; angles 38.09, 38.09, 38.09 degrees
Atoms (fractional coordinates):
Fe 0.2188 0.2188 0.2188
Fe 0.7812 0.7812 0.7812
Se 0.5000 0.5000 0.5000
Cl 0.0000 0.0000 0.0000



Density functional theory data (PBE) for a relaxed Fe2SeCl crystal.

## Properties
Offset from the most stable computed form = 253 meV per atom
Spin magnetization = 6.48 μB/cell

Cell lengths 3.4275, 3.2510, 6.3530 Å; angles 90.00, 90.08, 90.00 degrees
Atoms (fractional coordinates):
Fe 0.0007 0.0000 0.1883
Fe 0.9993 0.0000 0.8117
Se 0.5000 0.5000 0.0000
Cl 0.0000 0.5000 0.5000



Density functional theory data (PBE) for a relaxed FeSe2Cl crystal.

## Properties
Offset from the most stable computed form = 361 meV per atom
Spin magnetization = 2.91 μB/cell

Cell lengths 3.3194, 3.3194, 6.9254 Å; angles 90.00, 90.00, 90.00 degrees
Atoms (fractional coordinates):
Fe 0.0000 0.0000 0.0000
Se 0.5000 0.5000 0.1817
Se 0.5000 0.5000 0.8183
Cl 0.0000 0.0000 0.5000



Density functional theory data (PBE) for a relaxed FeSe2Cl crystal.

## Properties
Offset from the most stable computed form = 100 meV per atom
Spin magnetization = 1.01 μB/cell

Cell lengths 6.1306, 6.1306, 5.6591 Å; angles 105.95, 105.95, 30.41 degrees
Atoms (fractional coordinates):
Fe 0.0000 0.0000 0.0000
Se 0.5266 0.5266 0.3167
Se 0.6491 0.6491 0.0289
Cl 0.3738 0.3738 0.7507



Density functional theory data (PBE) for a relaxed FeSe3Cl crystal.

## Properties
Offset from the most stable computed form = 763 meV per atom
Spin magnetization = 3.93 μB/cell

Cell lengths 4.9348, 4.9348, 4.9348 Å; angles 90.00, 90.00, 90.00 degrees
Atoms (fractional coordinates):
Fe 0.0000 0.0000 0.0000
Se 0.0000 0.5000 0.5000
Se 0.5000 0.0000 0.5000
Se 0.5000 0.5000 0.0000
Cl 0.5000 0.5000 0.5000



Density functional theory data (PBE) for a relaxed FeSe2Cl crystal.

## Properties
Offset from the most stable computed form = 358 meV per atom
Spin magnetization = 1.28 μB/cell

Cell lengths 2.9066, 2.9066, 9.0232 Å; angles 90.00, 90.00, 90.00 degrees
Atoms (fractional coordinates):
Fe 0.0000 0.0000 0.0000
Se 0.5000 0.5000 0.1703
Se 0.5000 0.5000 0.8297
Cl 0.0000 0.0000 0.5000



Density functional theory data (PBE) for a relaxed FeSe2Cl crystal.

## Properties
Offset from the most stable computed form = 750 meV per atom
Spin magnetization = 0.00 μB/cell

Cell lengths 11.8237, 11.8237, 11.8237 Å; angles 13.83, 13.83, 13.83 degrees
Atoms (fractional coordinates):
Fe 0.0000 0.0000 0.0000
Se 0.0641 0.0641 0.0641
Se 0.9359 0.9359 0.9359
Cl 0.5000 0.5000 0.5000



Density functional theory data (PBE) for a relaxed FeSe2Cl crystal.

## Properties
Offset from the most stable computed form = 528 meV per atom
Spin magnetization = 3.54 μB/cell

Cell lengths 3.7003, 3.7003, 6.3891 Å; angles 90.00, 90.00, 90.00 degrees
Atoms (fractional coordinates):
Fe 0.0000 0.0000 0.0000
Se 0.0000 0.5000 0.5000
Se 0.5000 0.0000 0.5000
Cl 0.5000 0.5000 0.0000



Density functional theory data (PBE) for a relaxed FeSe2Cl crystal.

## Properties
Offset from the most stable computed form = 203 meV per atom
Spin magnetization = 1.38 μB/cell

Cell lengths 9.7903, 9.7903, 9.7903 Å; angles 18.84, 18.84, 18.84 degrees
Atoms (fractional coordinates):
Fe 0.0000 0.0000 0.0000
Se 0.4810 0.4810 0.4810
Se 0.7171 0.7171 0.7171
Cl 0.2812 0.2812 0.2812



Density functional theory data (PBE) for a relaxed Fe2SeCl crystal.

## Properties
Offset from the most stable computed form = 159 meV per atom
Spin magnetization = 5.58 μB/cell

Cell lengths 4.4137, 4.4137, 6.4934 Å; angles 94.40, 94.40, 43.79 degrees
Atoms (fractional coordinates):
Fe 0.0000 0.0000 0.0000
Fe 0.7074 0.7074 0.0905
Se 0.2804 0.2804 0.8437
Cl 0.5190 0.5190 0.3219



Density functional theory data (PBE) for a relaxed FeSeCl7 crystal.

## Properties
Spin magnetization = 10.00 μB/cell
E = -3.30 eV/atom

Cell lengths 6.6344, 8.6795, 10.8851 Å; angles 87.26, 73.13, 85.13 degrees
Atoms (fractional coordinates):
Fe 0.0000 0.0000 0.0000
Fe 0.2289 0.4595 0.3978
Se 0.4817 0.3688 0.9541
Se 0.6652 0.8317 0.4012
Cl 0.0062 0.6573 0.4840
Cl 0.1706 0.2672 0.5357
Cl 0.1810 0.3861 0.2164
Cl 0.2220 0.4723 0.8839
Cl 0.3333 0.0632 0.9568
Cl 0.4265 0.9332 0.3132
Cl 0.4621 0.8141 0.5991
Cl 0.5601 0.5235 0.3595
Cl 0.6072 0.5842 0.9863
Cl 0.7089 0.3179 0.7679
Cl 0.7770 0.2019 0.0769
Cl 0.8064 0.0438 0.4247
Cl 0.9521 0.9108 0.8291
Cl 0.9605 0.8078 0.1477



Density functional theory data (PBE) for a relaxed FeSe2Cl6 crystal.

## Properties
Spin magnetization = 3.86 μB/cell
E = -3.21 eV/atom

Cell lengths 3.5937, 8.7568, 9.8192 Å; angles 66.61, 86.86, 88.00 degrees
Atoms (fractional coordinates):
Fe 0.0000 0.0000 0.0000
Se 0.4835 0.5346 0.5948
Se 0.5165 0.4654 0.4052
Cl 0.0142 0.7321 0.0649
Cl 0.0323 0.2534 0.3815
Cl 0.4476 0.0271 0.8210
Cl 0.5524 0.9729 0.1790
Cl 0.9677 0.7466 0.6185
Cl 0.9858 0.2679 0.9351



Density functional theory data (PBE) for a relaxed FeSe2Cl crystal.

## Properties
Offset from the most stable computed form = 365 meV per atom
Spin magnetization = 2.98 μB/cell

Cell lengths 3.3276, 3.3276, 8.4721 Å; angles 90.00, 90.00, 90.00 degrees
Atoms (fractional coordinates):
Fe 0.0000 0.0000 0.0000
Se 0.0000 0.0000 0.2663
Se 0.5000 0.5000 0.9007
Cl 0.5000 0.5000 0.6293



Density functional theory data (PBE) for a relaxed Fe3SeCl crystal.

## Properties
Offset from the most stable computed form = 0 meV per atom
Spin magnetization = 9.00 μB/cell

Cell lengths 4.5902, 4.5902, 4.5902 Å; angles 90.00, 90.00, 90.00 degrees
Atoms (fractional coordinates):
Fe 0.0000 0.0000 0.5000
Fe 0.0000 0.5000 0.0000
Fe 0.5000 0.0000 0.0000
Se 0.0000 0.0000 0.0000
Cl 0.5000 0.5000 0.5000



Density functional theory data (PBE) for a relaxed Fe2SeCl crystal.

## Properties
Offset from the most stable computed form = 91 meV per atom
Spin magnetization = 5.78 μB/cell

Cell lengths 9.0730, 9.0730, 9.0730 Å; angles 20.06, 20.06, 20.06 degrees
Atoms (fractional coordinates):
Fe 0.0000 0.0000 0.0000
Fe 0.2657 0.2657 0.2657
Se 0.5399 0.5399 0.5399
Cl 0.7249 0.7249 0.7249



Density functional theory data (PBE) for a relaxed FeSe2Cl crystal.

## Properties
Offset from the most stable computed form = 700 meV per atom
Spin magnetization = 3.73 μB/cell

Cell lengths 5.8530, 5.8530, 3.4999 Å; angles 90.00, 90.00, 131.79 degrees
Atoms (fractional coordinates):
Fe 0.0000 0.0000 0.0000
Se 0.0000 0.5000 0.5000
Se 0.5000 0.0000 0.5000
Cl 0.5000 0.5000 0.0000



Density functional theory data (PBE) for a relaxed FeSe2Cl crystal.

## Properties
Offset from the most stable computed form = 60 meV per atom
Spin magnetization = 1.06 μB/cell

Cell lengths 7.6403, 7.6403, 7.6403 Å; angles 27.59, 27.59, 27.59 degrees
Atoms (fractional coordinates):
Fe 0.0000 0.0000 0.0000
Se 0.3861 0.3861 0.3861
Se 0.6139 0.6139 0.6139
Cl 0.5000 0.5000 0.5000



Density functional theory data (PBE) for a relaxed FeSe2Cl crystal.

## Properties
Offset from the most stable computed form = 81 meV per atom
Spin magnetization = 3.59 μB/cell

Cell lengths 4.8075, 3.4061, 7.0441 Å; angles 90.00, 95.28, 90.00 degrees
Atoms (fractional coordinates):
Fe 0.0000 0.0000 0.0000
Se 0.2755 0.5000 0.2090
Se 0.7076 0.0000 0.2438
Cl 0.9070 0.5000 0.7742